No. 1
DFT (PBE) results for an optimized crystal structure of SmGa4CuRh2.

Calculated values
Calculated density, g cm⁻³: 8.512
M_tot, μB per atom: 0.0000
Uncorrected energy, eV per formula unit: -39.91
ΔE_f, meV per atom: -536

```
data_SmGa4CuRh2
_chemical_formula_sum 'Sm1 Ga4 Cu1 Rh2'
_space_group_name_H-M_alt 'P 1'
_space_group_IT_number 1
_space_group_name_Hall 'P 1'
_cell_length_a 4.2727
_cell_length_b 4.2727
_cell_length_c 8.9666
_cell_angle_alpha 76.22
_cell_angle_beta 76.22
_cell_angle_gamma 60.00
loop_
_atom_site_label
_atom_site_type_symbol
_atom_site_fract_x
_atom_site_fract_y
_atom_site_fract_z
_atom_site_occupancy
Ga1 Ga 0.8706 0.8706 0.3883 1
Ga2 Ga 0.4004 0.4004 0.7988 1
Ga3 Ga 0.5996 0.5996 0.2012 1
Ga4 Ga 0.1294 0.1294 0.6117 1
Sm1 Sm 0.0000 0.0000 0.0000 1
Rh1 Rh 0.7701 0.7701 0.6896 1
Rh2 Rh 0.2299 0.2299 0.3104 1
Cu1 Cu 0.5000 0.5000 0.5000 1
```

***

No. 2
DFT (PBE) results for an optimized crystal structure of Ac2La3Sm3.

Calculated values
Calculated density, g cm⁻³: 7.283
Polymorph energy (0 for the lowest one), eV/atom: 0.000
M_tot, μB per atom: 0.0000
Uncorrected energy, eV per formula unit: -36.93
ΔE_f, meV per atom: 29

```
data_Ac2La3Sm3
_chemical_formula_sum 'Ac2 La3 Sm3'
_space_group_name_H-M_alt 'P 1'
_space_group_IT_number 1
_space_group_name_Hall 'P 1'
_cell_length_a 5.3299
_cell_length_b 5.3492
_cell_length_c 11.2240
_cell_angle_alpha 103.79
_cell_angle_beta 103.74
_cell_angle_gamma 90.00
loop_
_atom_site_label
_atom_site_type_symbol
_atom_site_fract_x
_atom_site_fract_y
_atom_site_fract_z
_atom_site_occupancy
Sm1 Sm 0.0000 0.5000 0.0000 1
Sm2 Sm 0.1209 0.1209 0.2418 1
Sm3 Sm 0.8791 0.8791 0.7582 1
La1 La 0.5000 0.0000 0.0000 1
La2 La 0.3811 0.3811 0.7622 1
La3 La 0.6189 0.6189 0.2378 1
Ac1 Ac 0.7491 0.2491 0.4981 1
Ac2 Ac 0.2509 0.7509 0.5019 1
```

***

No. 3
DFT (PBE) results for an optimized crystal structure of HoTh2Pb9.

Calculated values
Calculated density, g cm⁻³: 11.751
M_tot, μB per atom: 0.0000
Uncorrected energy, eV per formula unit: -55.61
ΔE_f, meV per atom: -235

```
data_HoTh2Pb9
_chemical_formula_sum 'Ho1 Th2 Pb9'
_space_group_name_H-M_alt 'P 1'
_space_group_IT_number 1
_space_group_name_Hall 'P 1'
_cell_length_a 4.9061
_cell_length_b 4.9061
_cell_length_c 14.6407
_cell_angle_alpha 90.00
_cell_angle_beta 90.00
_cell_angle_gamma 90.00
loop_
_atom_site_label
_atom_site_type_symbol
_atom_site_fract_x
_atom_site_fract_y
_atom_site_fract_z
_atom_site_occupancy
Pb1 Pb 0.5000 0.0000 0.5000 1
Pb2 Pb 0.5000 0.5000 0.3313 1
Pb3 Pb 0.5000 0.0000 0.8363 1
Pb4 Pb 0.5000 0.5000 0.6687 1
Pb5 Pb 0.0000 0.5000 0.8363 1
Pb6 Pb 0.5000 0.0000 0.1637 1
Pb7 Pb 0.5000 0.5000 0.0000 1
Pb8 Pb 0.0000 0.5000 0.1637 1
Pb9 Pb 0.0000 0.5000 0.5000 1
Th1 Th 0.0000 0.0000 0.3357 1
Th2 Th 0.0000 0.0000 0.6643 1
Ho1 Ho 0.0000 0.0000 0.0000 1
```

***

No. 4
DFT (PBE) results for an optimized crystal structure of Tb2Nd2Ho7.

Calculated values
Calculated density, g cm⁻³: 8.129
M_tot, μB per atom: 0.0000
Uncorrected energy, eV per formula unit: -49.17
ΔE_f, meV per atom: 152

```
data_Tb2Nd2Ho7
_chemical_formula_sum 'Tb2 Nd2 Ho7'
_space_group_name_H-M_alt 'P 1'
_space_group_IT_number 1
_space_group_name_Hall 'P 1'
_cell_length_a 6.0713
_cell_length_b 8.0488
_cell_length_c 8.0488
_cell_angle_alpha 91.61
_cell_angle_beta 73.66
_cell_angle_gamma 73.66
loop_
_atom_site_label
_atom_site_type_symbol
_atom_site_fract_x
_atom_site_fract_y
_atom_site_fract_z
_atom_site_occupancy
Ho1 Ho 0.0000 0.0000 0.0000 1
Ho2 Ho 0.8220 0.4115 0.9363 1
Ho3 Ho 0.5787 0.7705 0.7705 1
Ho4 Ho 0.4213 0.2295 0.2295 1
Ho5 Ho 0.1780 0.0637 0.5885 1
Ho6 Ho 0.8220 0.9363 0.4115 1
Ho7 Ho 0.1780 0.5885 0.0637 1
Nd1 Nd 0.1926 0.5937 0.5937 1
Nd2 Nd 0.8074 0.4063 0.4063 1
Tb1 Tb 0.5000 0.7872 0.2128 1
Tb2 Tb 0.5000 0.2128 0.7872 1
```

***

No. 5
DFT (PBE) results for an optimized crystal structure of Nd3Ho2Er6Zr.

Calculated values
Calculated density, g cm⁻³: 8.338
M_tot, μB per atom: 0.0001
Uncorrected energy, eV per formula unit: -58.85
ΔE_f, meV per atom: 45

```
data_Nd3Ho2Er6Zr
_chemical_formula_sum 'Nd3 Ho2 Er6 Zr1'
_space_group_name_H-M_alt 'P 1'
_space_group_IT_number 1
_space_group_name_Hall 'P 1'
_cell_length_a 6.1078
_cell_length_b 6.1078
_cell_length_c 11.6219
_cell_angle_alpha 95.02
_cell_angle_beta 95.02
_cell_angle_gamma 119.95
loop_
_atom_site_label
_atom_site_type_symbol
_atom_site_fract_x
_atom_site_fract_y
_atom_site_fract_z
_atom_site_occupancy
Er1 Er 0.2462 0.2462 0.7590 1
Er2 Er 0.4064 0.0799 0.2412 1
Er3 Er 0.9201 0.5936 0.7588 1
Er4 Er 0.0799 0.4064 0.2412 1
Er5 Er 0.7538 0.7538 0.2410 1
Er6 Er 0.5936 0.9201 0.7588 1
Nd1 Nd 0.1661 0.8339 0.5000 1
Nd2 Nd 0.5000 0.5000 0.5000 1
Nd3 Nd 0.8339 0.1661 0.5000 1
Ho1 Ho 0.3333 0.6667 0.0000 1
Ho2 Ho 0.6667 0.3333 0.0000 1
Zr1 Zr 0.0000 0.0000 0.0000 1
```

***

No. 6
DFT (PBE) results for an optimized crystal structure of Ga2PbCl2.

Calculated values
Calculated density, g cm⁻³: 5.043
Polymorph energy (0 for the lowest one), eV/atom: 0.041
M_tot, μB per atom: 0.0000
Uncorrected energy, eV per formula unit: -15.22
E_form (uncorrected), eV per atom: -0.35

```
data_Ga2PbCl2
_chemical_formula_sum 'Ga4 Pb2 Cl4'
_space_group_name_H-M_alt 'P 1'
_space_group_IT_number 1
_space_group_name_Hall 'P 1'
_cell_length_a 8.7530
_cell_length_b 8.7530
_cell_length_c 3.5893
_cell_angle_alpha 90.00
_cell_angle_beta 90.00
_cell_angle_gamma 90.00
loop_
_atom_site_label
_atom_site_type_symbol
_atom_site_fract_x
_atom_site_fract_y
_atom_site_fract_z
_atom_site_occupancy
Ga1 Ga 0.2728 0.7728 0.0000 1
Ga2 Ga 0.7728 0.7272 0.0000 1
Ga3 Ga 0.7272 0.2272 0.0000 1
Ga4 Ga 0.2272 0.2728 0.0000 1
Pb1 Pb 0.5000 0.5000 0.0000 1
Pb2 Pb 0.0000 0.0000 0.0000 1
Cl1 Cl 0.8711 0.3711 0.5000 1
Cl2 Cl 0.6289 0.8711 0.5000 1
Cl3 Cl 0.1289 0.6289 0.5000 1
Cl4 Cl 0.3711 0.1289 0.5000 1
```

***

No. 7
DFT (PBE) results for an optimized crystal structure of TlTcSnHg2.

Calculated values
Calculated density, g cm⁻³: 8.387
M_tot, μB per atom: 0.5883
Uncorrected energy, eV per formula unit: -13.03
ΔE_f, meV per atom: 861

```
data_TlTcSnHg2
_chemical_formula_sum 'Tl1 Tc1 Sn1 Hg2'
_space_group_name_H-M_alt 'P 1'
_space_group_IT_number 1
_space_group_name_Hall 'P 1'
_cell_length_a 5.5494
_cell_length_b 5.2864
_cell_length_c 5.5494
_cell_angle_alpha 90.00
_cell_angle_beta 90.00
_cell_angle_gamma 90.00
loop_
_atom_site_label
_atom_site_type_symbol
_atom_site_fract_x
_atom_site_fract_y
_atom_site_fract_z
_atom_site_occupancy
Hg1 Hg 0.0000 0.0000 0.5000 1
Hg2 Hg 0.5000 0.0000 0.0000 1
Tc1 Tc 0.0000 0.5000 0.0000 1
Tl1 Tl 0.5000 0.5000 0.5000 1
Sn1 Sn 0.0000 0.0000 0.0000 1
```

***

No. 8
DFT (PBE) results for an optimized crystal structure of H6Rh.

Calculated values
Calculated density, g cm⁻³: 3.231
M_tot, μB per atom: 0.0000
Uncorrected energy, eV per formula unit: -26.75

```
data_H6Rh
_chemical_formula_sum 'H24 Rh4'
_space_group_name_H-M_alt 'P 1'
_space_group_IT_number 1
_space_group_name_Hall 'P 1'
_cell_length_a 3.5453
_cell_length_b 9.1930
_cell_length_c 6.8728
_cell_angle_alpha 90.00
_cell_angle_beta 90.00
_cell_angle_gamma 90.00
loop_
_atom_site_label
_atom_site_type_symbol
_atom_site_fract_x
_atom_site_fract_y
_atom_site_fract_z
_atom_site_occupancy
H1 H 0.2500 0.7500 0.1250 1
H2 H 0.1274 0.5692 0.3750 1
H3 H 0.6274 0.4308 0.1250 1
H4 H 0.3724 0.9310 0.3750 1
H5 H 0.7506 0.7500 0.3750 1
H6 H 0.8726 0.4308 0.6250 1
H7 H 0.1276 0.5690 0.8750 1
H8 H 0.3726 0.9308 0.8750 1
H9 H 0.8724 0.4310 0.1250 1
H10 H 0.8724 0.0690 0.1250 1
H11 H 0.6276 0.0690 0.6250 1
H12 H 0.2506 0.2500 0.1250 1
H13 H 0.8726 0.0692 0.6250 1
H14 H 0.1276 0.9310 0.8750 1
H15 H 0.2500 0.7500 0.6250 1
H16 H 0.1274 0.9308 0.3750 1
H17 H 0.2494 0.2500 0.6250 1
H18 H 0.7500 0.2500 0.8750 1
H19 H 0.7494 0.7500 0.8750 1
H20 H 0.6274 0.0692 0.1250 1
H21 H 0.6276 0.4310 0.6250 1
H22 H 0.3724 0.5690 0.3750 1
H23 H 0.3726 0.5692 0.8750 1
H24 H 0.7500 0.2500 0.3750 1
Rh1 Rh 0.2496 0.7500 0.8750 1
Rh2 Rh 0.7504 0.2500 0.1250 1
Rh3 Rh 0.7496 0.2500 0.6250 1
Rh4 Rh 0.2504 0.7500 0.3750 1
```

***

No. 9
DFT (PBE) results for an optimized crystal structure of Y2NiTe.

Calculated values
Calculated density, g cm⁻³: 6.253
M_tot, μB per atom: 0.0000
Uncorrected energy, eV per formula unit: -23.91
E_form (uncorrected), eV per atom: -0.51

```
data_Y2NiTe
_chemical_formula_sum 'Y2 Ni1 Te1'
_space_group_name_H-M_alt 'P 1'
_space_group_IT_number 1
_space_group_name_Hall 'P 1'
_cell_length_a 5.3430
_cell_length_b 5.3430
_cell_length_c 5.3430
_cell_angle_alpha 132.41
_cell_angle_beta 116.89
_cell_angle_gamma 82.73
loop_
_atom_site_label
_atom_site_type_symbol
_atom_site_fract_x
_atom_site_fract_y
_atom_site_fract_z
_atom_site_occupancy
Te1 Te 0.2500 0.7500 0.5000 1
Y1 Y 0.5216 0.5216 0.0000 1
Y2 Y 0.9784 0.9784 0.0000 1
Ni1 Ni 0.7500 0.2500 0.5000 1
```

***

No. 10
DFT (PBE) results for an optimized crystal structure of ZnIn2Cl.

Calculated values
Calculated density, g cm⁻³: 5.614
Polymorph energy (0 for the lowest one), eV/atom: 0.070
M_tot, μB per atom: 0.0000
Uncorrected energy, eV per formula unit: -9.36
E_form (uncorrected), eV per atom: -0.19

```
data_ZnIn2Cl
_chemical_formula_sum 'Zn1 In2 Cl1'
_space_group_name_H-M_alt 'P 1'
_space_group_IT_number 1
_space_group_name_Hall 'P 1'
_cell_length_a 6.1036
_cell_length_b 6.1036
_cell_length_c 6.1036
_cell_angle_alpha 147.43
_cell_angle_beta 126.15
_cell_angle_gamma 64.37
loop_
_atom_site_label
_atom_site_type_symbol
_atom_site_fract_x
_atom_site_fract_y
_atom_site_fract_z
_atom_site_occupancy
Zn1 Zn 0.4900 0.4900 0.0000 1
In1 In 0.7174 0.2174 0.5000 1
In2 In 0.9987 0.9987 0.0000 1
Cl1 Cl 0.2939 0.7939 0.5000 1
```

***

Question: The highest calculated density belongs to which entry?
Answer: HoTh2Pb9

***

Copy entry 7 word for word.
DFT (PBE) results for an optimized crystal structure of TlTcSnHg2.

Calculated values
Calculated density, g cm⁻³: 8.387
M_tot, μB per atom: 0.5883
Uncorrected energy, eV per formula unit: -13.03
ΔE_f, meV per atom: 861

```
data_TlTcSnHg2
_chemical_formula_sum 'Tl1 Tc1 Sn1 Hg2'
_space_group_name_H-M_alt 'P 1'
_space_group_IT_number 1
_space_group_name_Hall 'P 1'
_cell_length_a 5.5494
_cell_length_b 5.2864
_cell_length_c 5.5494
_cell_angle_alpha 90.00
_cell_angle_beta 90.00
_cell_angle_gamma 90.00
loop_
_atom_site_label
_atom_site_type_symbol
_atom_site_fract_x
_atom_site_fract_y
_atom_site_fract_z
_atom_site_occupancy
Hg1 Hg 0.0000 0.0000 0.5000 1
Hg2 Hg 0.5000 0.0000 0.0000 1
Tc1 Tc 0.0000 0.5000 0.0000 1
Tl1 Tl 0.5000 0.5000 0.5000 1
Sn1 Sn 0.0000 0.0000 0.0000 1
```

***

Please write out number 4 again, unchanged.
DFT (PBE) results for an optimized crystal structure of Tb2Nd2Ho7.

Calculated values
Calculated density, g cm⁻³: 8.129
M_tot, μB per atom: 0.0000
Uncorrected energy, eV per formula unit: -49.17
ΔE_f, meV per atom: 152

```
data_Tb2Nd2Ho7
_chemical_formula_sum 'Tb2 Nd2 Ho7'
_space_group_name_H-M_alt 'P 1'
_space_group_IT_number 1
_space_group_name_Hall 'P 1'
_cell_length_a 6.0713
_cell_length_b 8.0488
_cell_length_c 8.0488
_cell_angle_alpha 91.61
_cell_angle_beta 73.66
_cell_angle_gamma 73.66
loop_
_atom_site_label
_atom_site_type_symbol
_atom_site_fract_x
_atom_site_fract_y
_atom_site_fract_z
_atom_site_occupancy
Ho1 Ho 0.0000 0.0000 0.0000 1
Ho2 Ho 0.8220 0.4115 0.9363 1
Ho3 Ho 0.5787 0.7705 0.7705 1
Ho4 Ho 0.4213 0.2295 0.2295 1
Ho5 Ho 0.1780 0.0637 0.5885 1
Ho6 Ho 0.8220 0.9363 0.4115 1
Ho7 Ho 0.1780 0.5885 0.0637 1
Nd1 Nd 0.1926 0.5937 0.5937 1
Nd2 Nd 0.8074 0.4063 0.4063 1
Tb1 Tb 0.5000 0.7872 0.2128 1
Tb2 Tb 0.5000 0.2128 0.7872 1
```

***

Question: Which value of calculated density does entry 5 give?
Answer: 8.338 g cm⁻³